[1]
The following is a PBE-GGA calculation of crystalline Ni5Mo3 at its relaxed geometry, from Alexandria via LeMat-Bulk.

Computed properties:
Energy above the most stable polymorph in this dataset   1.08 eV/f.u.
Space group   I4/mcm
Energy of formation   0.1654 eV per atom

```
Ni5Mo3
1.0
-4.740 4.740 2.323
4.740 -4.740 2.323
4.740 4.740 -2.323
Ni Mo
10 6
Direct
0.060 0.742 0.802 Ni
0.242 0.560 0.802 Ni
0.250 0.750 0.500 Ni
0.258 0.060 0.318 Ni
0.440 0.242 0.682 Ni
0.560 0.758 0.318 Ni
0.742 0.940 0.682 Ni
0.750 0.250 0.500 Ni
0.758 0.440 0.198 Ni
0.940 0.258 0.198 Ni
0.185 0.315 0.500 Mo
0.250 0.250 0.000 Mo
0.315 0.815 0.130 Mo
0.685 0.185 0.870 Mo
0.750 0.750 0.000 Mo
0.815 0.685 0.500 Mo
```



[2]
The following is a PBE-GGA calculation of crystalline NiMo at its relaxed geometry, from Alexandria via LeMat-Bulk.

Computed properties:
Space group   I4/m
Energy of formation   0.3621 eV per atom

```
NiMo
1.0
-4.720 4.720 1.277
4.720 -4.720 1.277
4.720 4.720 -1.277
Ni Mo
4 4
Direct
0.082 0.157 0.239 Ni
0.157 0.918 0.076 Ni
0.843 0.082 0.924 Ni
0.918 0.843 0.761 Ni
0.116 0.653 0.770 Mo
0.347 0.116 0.463 Mo
0.653 0.884 0.537 Mo
0.884 0.347 0.230 Mo
```



[3]
The following is a PBE-GGA calculation of crystalline NiMo2 at its relaxed geometry, from Alexandria via LeMat-Bulk.

Computed properties:
Energy above the most stable polymorph in this dataset   0.09 eV/f.u.
Space group   I4_1/amd
Energy of formation   0.0725 eV per atom

```
NiMo2
1.0
-1.921 1.921 11.530
1.921 -1.921 11.530
1.921 1.921 -11.530
Ni Mo
4 8
Direct
0.288 0.538 0.750 Ni
0.462 0.712 0.750 Ni
0.538 0.288 0.250 Ni
0.712 0.462 0.250 Ni
0.040 0.790 0.250 Mo
0.123 0.373 0.750 Mo
0.210 0.960 0.250 Mo
0.373 0.123 0.250 Mo
0.627 0.877 0.750 Mo
0.790 0.040 0.750 Mo
0.877 0.627 0.250 Mo
0.960 0.210 0.750 Mo
```



[4]
The following is a PBE-GGA calculation of crystalline NiMo2 at its relaxed geometry, from Alexandria via LeMat-Bulk.

Computed properties:
Energy above the most stable polymorph in this dataset   0.65 eV/f.u.
Space group   I4_1/amd
Energy of formation   0.2581 eV per atom

```
NiMo2
1.0
-1.318 1.318 12.593
1.318 -1.318 12.593
1.318 1.318 -12.593
Ni Mo
2 4
Direct
0.375 0.625 0.750 Ni
0.625 0.375 0.250 Ni
0.049 0.799 0.250 Mo
0.201 0.951 0.250 Mo
0.799 0.049 0.750 Mo
0.951 0.201 0.750 Mo
```



| no. | total DFT energy (no corrections) (eV/atom) |
| --- | --- |
| 1 | -7.51 |
| 2 | -7.94 |
| 3 | -9.08 |
| 4 | -8.89 |